[1]
DFT (GGA-PBE) results for a relaxed structure of YCr3Ag.

Unit cell a=4.9605 b=4.9605 c=4.9605 alpha=90.00 beta=90.00 gamma=90.00
Fractional coordinates of all 5 atoms:
Y (0.0000, 0.0000, 0.0000)
Cr (0.0000, 0.5000, 0.5000)
Cr (0.5000, 0.0000, 0.5000)
Cr (0.5000, 0.5000, 0.0000)
Ag (0.5000, 0.5000, 0.5000)

Output
**Offset from the most stable computed form**: 0.0000 eV/atom
**Energy of formation**: 1200 meV per atom
**Theoretical density**: 4.8 g cm⁻³

---

[2]
DFT (GGA-PBE) results for a relaxed structure of Y2CrAg.

Unit cell a=3.5106 b=3.5106 c=27.7538 alpha=90.00 beta=90.00 gamma=120.00
Fractional coordinates of all 12 atoms:
Y (0.0000, 0.0000, 0.2469)
Y (0.0000, 0.0000, 0.7531)
Y (0.3333, 0.6667, 0.4198)
Y (0.3333, 0.6667, 0.9135)
Y (0.6667, 0.3333, 0.0865)
Y (0.6667, 0.3333, 0.5802)
Cr (0.0000, 0.0000, 0.5000)
Cr (0.3333, 0.6667, 0.1667)
Cr (0.6667, 0.3333, 0.8333)
Ag (0.0000, 0.0000, 0.0000)
Ag (0.3333, 0.6667, 0.6667)
Ag (0.6667, 0.3333, 0.3333)

Output
**Offset from the most stable computed form**: 0.2758 eV/atom
**Energy of formation**: 311 meV per atom
**Theoretical density**: 5.7 g cm⁻³

---

[3]
DFT (GGA-PBE) results for a relaxed structure of Y2CrAg.

Unit cell a=11.2491 b=3.4633 c=5.1596 alpha=90.00 beta=108.44 gamma=90.00
Fractional coordinates of all 8 atoms:
Y (0.0000, 0.0000, 0.0000)
Y (0.2159, 0.0000, 0.6529)
Y (0.5000, 0.5000, 0.0000)
Y (0.7159, 0.5000, 0.6529)
Cr (0.4623, 0.0000, 0.4797)
Cr (0.9623, 0.5000, 0.4797)
Ag (0.2577, 0.5000, 0.1878)
Ag (0.7577, 0.0000, 0.1878)

Output
**Offset from the most stable computed form**: 0.1046 eV/atom
**Energy of formation**: 140 meV per atom
**Theoretical density**: 5.9 g cm⁻³

---

[4]
DFT (GGA-PBE) results for a relaxed structure of YZrCrAg2.

Unit cell a=5.2245 b=5.2245 c=4.6488 alpha=90.00 beta=90.00 gamma=90.00
Fractional coordinates of all 5 atoms:
Y (0.0000, 0.0000, 0.0000)
Zr (0.5000, 0.5000, 0.5000)
Cr (0.5000, 0.5000, 0.0000)
Ag (0.0000, 0.5000, 0.5000)
Ag (0.5000, 0.0000, 0.5000)

Output
**Energy of formation**: 817 meV per atom
**Theoretical density**: 5.9 g cm⁻³

---

[5]
DFT (GGA-PBE) results for a relaxed structure of ZnCrAg2.

Unit cell a=3.0695 b=3.6627 c=5.9432 alpha=90.00 beta=90.00 gamma=90.00
Fractional coordinates of all 4 atoms:
Zn (0.0000, 0.0000, 0.0000)
Cr (0.0000, 0.0000, 0.5000)
Ag (0.5000, 0.5000, 0.2451)
Ag (0.5000, 0.5000, 0.7549)

Output
**Energy of formation**: 264 meV per atom
**Theoretical density**: 8.3 g cm⁻³

---

[6]
DFT (GGA-PBE) results for a relaxed structure of Zn3CrAg.

Unit cell a=4.8397 b=4.8397 c=4.8397 alpha=90.00 beta=90.00 gamma=90.00
Fractional coordinates of all 5 atoms:
Zn (0.0000, 0.0000, 0.5000)
Zn (0.0000, 0.5000, 0.0000)
Zn (0.5000, 0.0000, 0.0000)
Cr (0.5000, 0.5000, 0.5000)
Ag (0.0000, 0.0000, 0.0000)

Output
**Offset from the most stable computed form**: 0.0000 eV/atom
**Energy of formation**: 754 meV per atom
**Theoretical density**: 5.2 g cm⁻³

---

Q: energy of formation of number 6 (Zn3CrAg)?
A: 754 meV per atom

---

Q: The lowest energy of formation belongs to which entry?
A: number 3

---

Q: What is the energy of formation in the second record?
A: 311 meV per atom